ScCuGeRu | PBE | relaxed

Results
The formation energy comes out at -0.333 eV/atom. The value obtained for the total moment is 0.0 μB per formula unit.

abc: 4.4049 4.4049 4.4049
angles: 60.00 60.00 60.00
With the nearest neighbours (Å) after each atom.
Atoms (fractional coordinates):
Sc (0.5000, 0.5000, 0.5000)  4 Cu 2.70, 4 Ge 2.70
Cu (0.7500, 0.7500, 0.7500)  4 Sc 2.70, 4 Ru 2.70
Ru (0.0000, 0.0000, 0.0000)  4 Ge 2.70, 4 Cu 2.70
Ge (0.2500, 0.2500, 0.2500)  4 Sc 2.70, 4 Ru 2.70

***

CuSiGe2Ru | PBE | relaxed

Results
The value obtained for the total moment is 1.4 μB per formula unit. The offset from the most stable computed form comes out at 0.150 eV per atom.

abc: 4.7341 4.2566 4.7341
angles: 90.00 90.00 90.00
With the nearest neighbours (Å) after each atom.
Atoms (fractional coordinates):
Cu (0.0000, 0.5000, 0.0000)  2 Si 2.13
Ge (0.5000, 0.0000, 0.0000)  2 Si 2.37
Ge (0.0000, 0.0000, 0.5000)  2 Si 2.37
Ru (0.5000, 0.5000, 0.5000)  8 Ge 3.18, 4 Cu 3.35
Si (0.0000, 0.0000, 0.0000)  2 Cu 2.13, 4 Ge 2.37

***

CuSiGe2Ru | PBE | relaxed

Results
The value obtained for the total moment is 0.4 μB per formula unit. The offset from the most stable computed form comes out at 0.000 eV per atom.

abc: 4.7128 4.4356 4.7128
angles: 90.00 90.00 90.00
With the nearest neighbours (Å) after each atom.
Atoms (fractional coordinates):
Ge (0.0000, 0.0000, 0.5000)  2 Si 2.36
Ge (0.5000, 0.0000, 0.0000)  2 Si 2.36
Cu (0.5000, 0.5000, 0.5000)  8 Ge 3.24, 4 Ru 3.33
Si (0.0000, 0.0000, 0.0000)  2 Ru 2.22, 4 Ge 2.36
Ru (0.0000, 0.5000, 0.0000)  2 Si 2.22

***

Sr2Cu3Ge4Ru | PBE | relaxed

Results
The formation energy comes out at -0.351 eV/atom. The value obtained for the total moment is 0.0 μB per formula unit.

abc: 4.2682 4.2682 10.4306
angles: 90.00 90.00 90.00
With the nearest neighbours (Å) after each atom.
Atoms (fractional coordinates):
Ru (0.5000, 0.5000, 0.5000)  4 Ge 2.50
Cu (0.0000, 0.0000, 0.5000)  4 Ge 2.50
Cu (0.0000, 0.5000, 0.1309)  5 Ge 2.53-2.55
Cu (0.5000, 0.0000, 0.8691)  5 Ge 2.53-2.55
Sr (0.0000, 0.5000, 0.7531)  6 Cu 3.25-3.40, 8 Ge 3.30-3.34, 2 Ru 3.40
Sr (0.5000, 0.0000, 0.2469)  6 Cu 3.25-3.40, 8 Ge 3.30-3.34, 2 Ru 3.40
Ge (0.5000, 0.5000, 0.0000)  4 Cu 2.53
Ge (0.0000, 0.0000, 0.0000)  4 Cu 2.53
Ge (0.5000, 0.0000, 0.6246)  2 Ru 2.50, 3 Cu 2.50-2.55
Ge (0.0000, 0.5000, 0.3754)  2 Ru 2.50, 3 Cu 2.50-2.55

***

TaCuGeRu | PBE | relaxed

Results
The formation energy comes out at -0.102 eV/atom. The value obtained for the total moment is 0.0 μB per formula unit.

abc: 4.3709 4.3709 4.3709
angles: 60.00 60.00 60.00
With the nearest neighbours (Å) after each atom.
Atoms (fractional coordinates):
Ge (0.0000, 0.0000, 0.0000)  4 Cu 2.68, 4 Ru 2.68
Cu (0.7500, 0.7500, 0.7500)  4 Ta 2.68, 4 Ge 2.68
Ta (0.5000, 0.5000, 0.5000)  4 Cu 2.68, 4 Ru 2.68
Ru (0.2500, 0.2500, 0.2500)  4 Ge 2.68, 4 Ta 2.68

***

Ti2CuGeRu | PBE | relaxed

Results
The formation energy comes out at 0.674 eV/atom. The value obtained for the total moment is 0.0 μB per formula unit.

abc: 4.5304 4.5697 4.5304
angles: 90.00 90.00 90.00
With the nearest neighbours (Å) after each atom.
Atoms (fractional coordinates):
Cu (0.0000, 0.0000, 0.0000)  4 Ti 2.27, 2 Ru 2.28
Ti (0.5000, 0.0000, 0.0000)  2 Cu 2.27
Ti (0.0000, 0.0000, 0.5000)  2 Cu 2.27
Ru (0.0000, 0.5000, 0.0000)  2 Cu 2.28
Ge (0.5000, 0.5000, 0.5000)  4 Ru 3.20, 8 Ti 3.22

***

YCuGe2Ru | PBE | relaxed

Results
The formation energy comes out at -0.497 eV/atom. The value obtained for the total moment is 0.0 μB per formula unit.

abc: 4.0850 4.0850 5.9940
angles: 109.92 109.92 90.00
With the nearest neighbours (Å) after each atom.
Atoms (fractional coordinates):
Ge (0.6202, 0.6202, 0.2404)  2 Ru 2.46, 2 Cu 2.46, 1 Ge 2.53
Ge (0.3798, 0.3798, 0.7596)  2 Ru 2.46, 2 Cu 2.46, 1 Ge 2.53
Cu (0.2500, 0.7500, 0.5000)  4 Ge 2.46
Ru (0.7500, 0.2500, 0.5000)  4 Ge 2.46
Y (0.0000, 0.0000, 0.0000)  8 Ge 3.15, 4 Ru 3.33, 4 Cu 3.33

***

ZnCuGeRu | PBE | relaxed

Results
The formation energy comes out at 0.001 eV/atom. The value obtained for the total moment is 0.0 μB per formula unit.

abc: 4.2688 4.2688 4.2688
angles: 60.00 60.00 60.00
With the nearest neighbours (Å) after each atom.
Atoms (fractional coordinates):
Ru (0.7500, 0.7500, 0.7500)  4 Zn 2.61, 4 Ge 2.61
Ge (0.0000, 0.0000, 0.0000)  4 Ru 2.61, 4 Cu 2.61
Zn (0.5000, 0.5000, 0.5000)  4 Ru 2.61, 4 Cu 2.61
Cu (0.2500, 0.2500, 0.2500)  4 Zn 2.61, 4 Ge 2.61

***

Cu3GeS4 | PBE | relaxed

Results
The value obtained for the raw total energy is -4.514 eV/atom. The value obtained for the total moment is 0.0 μB per formula unit.

abc: 5.2782 5.2782 6.4824
angles: 114.02 114.02 90.00
With the nearest neighbours (Å) after each atom.
Atoms (fractional coordinates):
Cu (0.7500, 0.2500, 0.5000)  4 S 2.29
Cu (0.2500, 0.7500, 0.5000)  4 S 2.29
Cu (0.5000, 0.5000, 0.0000)  4 S 2.30
S (0.3746, 0.3746, 0.2511)  3 Cu 2.29-2.30, 1 Ge 2.29
S (0.6254, 0.1235, 0.7489)  3 Cu 2.29-2.30, 1 Ge 2.29
S (0.8765, 0.8765, 0.2511)  3 Cu 2.29-2.30, 1 Ge 2.29
S (0.1235, 0.6254, 0.7489)  3 Cu 2.29-2.30, 1 Ge 2.29
Ge (0.0000, 0.0000, 0.0000)  4 S 2.29

***

CuGeS3 | PBE | relaxed

Results
The value obtained for the raw total energy is -4.440 eV/atom. The value obtained for the total moment is 0.0 μB per formula unit.

abc: 3.4612 6.5468 11.1826
angles: 97.13 90.00 90.00
With the nearest neighbours (Å) after each atom.
Atoms (fractional coordinates):
S (0.7500, 0.8979, 0.6580)  1 Ge 2.26, 2 Cu 2.28
S (0.2500, 0.1021, 0.3420)  1 Ge 2.26, 2 Cu 2.28
S (0.2500, 0.2325, 0.9094)  2 Ge 2.25
S (0.7500, 0.7675, 0.0906)  2 Ge 2.25
S (0.2500, 0.5559, 0.3466)  1 Ge 2.26, 2 Cu 2.29
S (0.7500, 0.4441, 0.6534)  1 Ge 2.26, 2 Cu 2.29
Ge (0.2500, 0.8003, 0.2199)  4 S 2.25-2.26
Ge (0.7500, 0.1997, 0.7801)  4 S 2.25-2.26
Cu (0.2500, 0.6754, 0.6745)  4 S 2.28-2.29
Cu (0.7500, 0.3246, 0.3255)  4 S 2.28-2.29

***

CuGeS3 | PBE | relaxed

Results
The value obtained for the raw total energy is -4.318 eV/atom. The value obtained for the total moment is 0.0 μB per formula unit.

abc: 6.7119 9.7853 7.2394
angles: 90.00 90.00 90.00
With the nearest neighbours (Å) after each atom.
Atoms (fractional coordinates):
Ge (0.2555, 0.2192, 0.2500)  5 S 2.25-2.40
Ge (0.2445, 0.7192, 0.7500)  5 S 2.25-2.40
Ge (0.7445, 0.7808, 0.7500)  5 S 2.25-2.40
Ge (0.7555, 0.2808, 0.2500)  5 S 2.25-2.40
S (0.5114, 0.2384, 0.0193)  1 Cu 2.34, 2 Ge 2.38-2.40
S (0.9886, 0.7384, 0.9807)  1 Cu 2.34, 2 Ge 2.38-2.40
S (0.7819, 0.5102, 0.2500)  1 Ge 2.25, 2 Cu 2.33
S (0.2181, 0.4898, 0.7500)  1 Ge 2.25, 2 Cu 2.33
S (0.0114, 0.2616, 0.0193)  1 Cu 2.34, 2 Ge 2.38-2.40
S (0.9886, 0.7384, 0.5193)  1 Cu 2.34, 2 Ge 2.38-2.40
S (0.7181, 0.0102, 0.7500)  1 Ge 2.25, 2 Cu 2.33
S (0.4886, 0.7616, 0.5193)  1 Cu 2.34, 2 Ge 2.38-2.40
S (0.2819, 0.9898, 0.2500)  1 Ge 2.25, 2 Cu 2.33
S (0.4886, 0.7616, 0.9807)  1 Cu 2.34, 2 Ge 2.38-2.40
S (0.5114, 0.2384, 0.4807)  1 Cu 2.34, 2 Ge 2.38-2.40
S (0.0114, 0.2616, 0.4807)  1 Cu 2.34, 2 Ge 2.38-2.40
Cu (0.0000, 0.5000, 0.0000)  4 S 2.33-2.34
Cu (0.0000, 0.5000, 0.5000)  4 S 2.33-2.34
Cu (0.5000, 0.0000, 0.0000)  4 S 2.33-2.34
Cu (0.5000, 0.0000, 0.5000)  4 S 2.33-2.34

***

CuGeS3 | PBE | relaxed

Results
The value obtained for the raw total energy is -3.766 eV/atom. The value obtained for the total moment is 0.0 μB per formula unit.

abc: 4.5199 4.5199 4.5199
angles: 90.00 90.00 90.00
With the nearest neighbours (Å) after each atom.
Atoms (fractional coordinates):
S (0.0000, 0.5000, 0.0000)  2 Cu 2.26
S (0.0000, 0.0000, 0.5000)  2 Cu 2.26
S (0.5000, 0.0000, 0.0000)  2 Cu 2.26
Ge (0.5000, 0.5000, 0.5000)  12 S 3.20
Cu (0.0000, 0.0000, 0.0000)  6 S 2.26

***

Going through the records in order, we get volume values of 60.43; 95.40; 98.52; 190.02; 59.05; 93.79; 87.64; 55.00; 147.66; 125.72; 118.87; 92.34 Å³/f.u..